# 1
Below is an optimized crystal structure of CsTaBe, with properties calculated at the GGA-PBE level.

Results
As for the mass density: 4.5 g/cm³. The value obtained for the volume is 474.5 Å³ per cell. The value obtained for the excess energy over the best structure of this formula in the dataset is 809 meV/atom.

Cell: 7.7995 7.7995 7.7995 Å, 90.00 90.00 90.00°
With the nearest neighbours (Å) after each atom.
Space group F-43m (No. 216)
Asymmetric unit:
Cs (0.0000, 0.0000, 0.0000)  4 Be 3.38, 4 Ta 3.38
Ta (0.2500, 0.2500, 0.2500)  4 Cs 3.38
Be (0.2500, 0.2500, 0.7500)  4 Cs 3.38

=====

# 2
Below is an optimized crystal structure of TbCuSnSe2S, with properties calculated at the GGA-PBE level.

Results
The value obtained for the total DFT energy (no corrections) is -4.889 eV per atom. As for the mass density: 6.5 g/cm³. The value obtained for the volume is 544.2 Å³ per cell.

Cell: 3.9578 13.4994 10.1860 Å, 90.00 90.00 90.00°
With the nearest neighbours (Å) after each atom.
Space group Cmcm (No. 63)
Asymmetric unit:
Tb (0.0000, 0.0000, 0.0000)  2 S 2.74, 4 Se 2.88
Cu (0.0000, 0.4753, 0.2500)  2 S 2.39, 2 Se 2.48
Sn (0.0000, 0.2531, 0.7500)  2 S 3.05, 4 Se 3.08
Se (0.0000, 0.3540, 0.0671)  1 Cu 2.48
S (0.0000, 0.0746, 0.2500)  2 Cu 2.39

=====

# 3
Below is an optimized crystal structure of LiHPt3, with properties calculated at the GGA-PBE level.

Results
The value obtained for the total DFT energy (no corrections) is -4.972 eV per atom. As for the mass density: 15.8 g/cm³. The value obtained for the volume is 62.3 Å³ per cell.

Cell: 4.8719 2.7991 4.8736 Å, 90.00 110.28 90.00°
With the nearest neighbours (Å) after each atom.
Space group Pm (No. 6)
Asymmetric unit:
Li (0.0000, 0.0000, 0.0000)  1 H 2.14
H (0.2714, 0.0000, 0.7352)  5 Pt 1.97-2.00, 1 Li 2.14
Pt (0.0032, 0.5000, 0.4891)  2 H 2.00
Pt (0.5106, 0.5000, 0.9972)  2 H 1.98
Pt (0.5139, 0.0000, 0.4862)  1 H 1.97

=====

# 4
Below is an optimized crystal structure of KGa2Hg2, with properties calculated at the GGA-PBE level.

Results
The value obtained for the total DFT energy (no corrections) is -1.646 eV per atom. As for the mass density: 7.3 g/cm³. The value obtained for the volume is 264.3 Å³ per cell.

Cell: 4.6255 4.6255 12.3549 Å, 90.00 90.00 90.00°
With the nearest neighbours (Å) after each atom.
Space group I4/mmm (No. 139)
Asymmetric unit:
K (0.0000, 0.0000, 0.0000)  8 Hg 3.58, 8 Ga 3.86
Ga (0.0000, 0.5000, 0.2500)  4 Hg 2.83
Hg (0.0000, 0.0000, 0.3817)  4 Ga 2.83, 1 Hg 2.92

=====

# 5
Below is an optimized crystal structure of ScSiNiOs, with properties calculated at the GGA-PBE level.

Results
The value obtained for the total DFT energy (no corrections) is -7.057 eV per atom. As for the mass density: 9.2 g/cm³. The value obtained for the volume is 232.8 Å³ per cell.

Cell: 6.1513 6.1513 6.1513 Å, 90.00 90.00 90.00°
With the nearest neighbours (Å) after each atom.
Space group F-43m (No. 216)
Asymmetric unit:
Sc (0.0000, 0.0000, 0.0000)  4 Si 2.66, 4 Os 2.66
Si (0.2500, 0.2500, 0.2500)  4 Ni 2.66, 4 Sc 2.66
Ni (0.0000, 0.0000, 0.5000)  4 Os 2.66, 4 Si 2.66
Os (0.2500, 0.2500, 0.7500)  4 Ni 2.66, 4 Sc 2.66

=====

# 6
Below is an optimized crystal structure of ErLuFe2Ge2C, with properties calculated at the GGA-PBE level.

Results
The value obtained for the total DFT energy (no corrections) is -6.913 eV per atom. As for the mass density: 9.3 g/cm³. The value obtained for the volume is 218.5 Å³ per cell.

Cell: 10.5738 3.9251 6.7090 Å, 90.00 128.29 90.00°
With the nearest neighbours (Å) after each atom.
Space group Cm (No. 8)
Asymmetric unit:
Er (0.0000, 0.0000, 0.0000)  2 C 2.56
Lu (0.1136, 0.0000, 0.5740)  2 C 2.53
Fe (0.2550, 0.5000, 0.3803)  1 C 1.77
Fe (0.3607, 0.0000, 0.1974)  1 C 1.77
Ge (0.2179, 0.5000, 0.9915)  3 Fe 2.34-2.39
Ge (0.3963, 0.0000, 0.5837)  3 Fe 2.33-2.38
C (0.0585, 0.5000, 0.2914)  2 Fe 1.77

=====

# 7
Below is an optimized crystal structure of AcErPb, with properties calculated at the GGA-PBE level.

Results
As for the mass density: 8.8 g/cm³. The value obtained for the volume is 452.7 Å³ per cell. The value obtained for the excess energy over the best structure of this formula in the dataset is 0 meV/atom.

Cell: 7.6782 7.6782 7.6782 Å, 90.00 90.00 90.00°
With the nearest neighbours (Å) after each atom.
Space group F-43m (No. 216)
Asymmetric unit:
Ac (0.0000, 0.0000, 0.0000)  4 Pb 3.32
Er (0.0000, 0.0000, 0.5000)  4 Pb 3.32
Pb (0.2500, 0.2500, 0.2500)  4 Ac 3.32, 4 Er 3.32

=====

# 8
Below is an optimized crystal structure of GeSbW4C2, with properties calculated at the GGA-PBE level.

Results
The value obtained for the total DFT energy (no corrections) is -9.612 eV per atom. As for the mass density: 13.8 g/cm³. The value obtained for the volume is 114.7 Å³ per cell.

Cell: 3.2148 3.2148 12.8148 Å, 90.00 90.00 120.00°
With the nearest neighbours (Å) after each atom.
Space group P-6m2 (No. 187)
Asymmetric unit:
Ge (0.0000, 0.0000, 0.0000)  6 W 2.69
Sb (0.3333, 0.6667, 0.5000)  6 W 2.93, 6 Sb 3.21
W (0.0000, 0.0000, 0.3235)  3 C 2.13
W (0.3333, 0.6667, 0.1519)  3 C 2.18
C (0.6667, 0.3333, 0.2417)  6 W 2.13-2.18